Record 1
Material: BaMnNiF2
Method: DFT, GGA+U
State: optimized geometry

abc: 4.330 4.996 4.330
angles: 90.00 90.00 90.00
Site moments in Bohr magnetons follow the coordinates.
Atoms (fractional coordinates):
Ni 0.000 0.500 0.000  0.17
Mn 0.000 0.000 0.000  4.56
Ba 0.500 0.500 0.500  -0.01
F 0.000 0.000 0.500  0.03
F 0.500 0.000 0.000  0.05

Space-group type: P4/mmm

---

Record 2
Material: Ba5Mn3O12F
Method: DFT, GGA+U
State: optimized geometry

abc: 10.536 10.536 7.960
angles: 90.00 90.00 120.00
Site moments in Bohr magnetons follow the coordinates.
Atoms (fractional coordinates):
Ba 0.333 0.667 0.998  0.01
Ba 0.667 0.333 0.002  0.01
Ba 0.667 0.333 0.498  0.01
Ba 0.333 0.667 0.502  0.01
Ba 0.241 0.255 0.250  0.01
Ba 0.759 0.745 0.750  0.01
Ba 0.745 0.986 0.250  0.01
Ba 0.255 0.014 0.750  0.01
Ba 0.014 0.759 0.250  0.01
Ba 0.986 0.241 0.750  0.01
Mn 0.400 0.032 0.250  1.98
Mn 0.600 0.968 0.750  1.98
Mn 0.968 0.367 0.250  1.98
Mn 0.032 0.633 0.750  1.98
Mn 0.633 0.600 0.250  1.98
Mn 0.367 0.400 0.750  1.98
O 0.155 0.480 0.250  -0.02
O 0.845 0.520 0.750  -0.02
O 0.520 0.675 0.250  -0.02
O 0.480 0.325 0.750  -0.02
O 0.325 0.845 0.250  -0.02
O 0.675 0.155 0.750  -0.02
O 0.589 0.124 0.250  -0.01
O 0.411 0.876 0.750  -0.01
O 0.876 0.465 0.250  -0.01
O 0.124 0.535 0.750  -0.01
O 0.535 0.411 0.250  -0.01
O 0.465 0.589 0.750  -0.01
O 0.346 0.092 0.077  -0.01
O 0.654 0.908 0.923  -0.01
O 0.908 0.255 0.077  -0.01
O 0.654 0.908 0.577  -0.01
O 0.092 0.745 0.923  -0.01
O 0.346 0.092 0.423  -0.01
O 0.745 0.654 0.077  -0.01
O 0.092 0.745 0.577  -0.01
O 0.255 0.346 0.923  -0.01
O 0.908 0.255 0.423  -0.01
O 0.255 0.346 0.577  -0.01
O 0.745 0.654 0.423  -0.01
F 0.000 0.000 0.250  0.00
F 0.000 0.000 0.750  0.00

Space-group type: P6_3/m
Energy above the most stable polymorph in this dataset in meV per atom: 0

---

Record 3
Material: BaMnOF2
Method: DFT, GGA+U
State: optimized geometry

abc: 4.953 4.953 5.006
angles: 90.00 90.00 90.00
Site moments in Bohr magnetons follow the coordinates.
Atoms (fractional coordinates):
Mn 0.500 0.500 0.500  4.93
Ba 0.000 0.000 0.000  0.05
O 0.000 0.000 0.500  0.30
F 0.000 0.500 0.000  0.02
F 0.500 0.000 0.000  0.02

Space-group type: P4/mmm
Energy above the most stable polymorph in this dataset in meV per atom: 1165

---

Record 4
Material: Ba5Mn3O12F
Method: DFT, GGA+U
State: optimized geometry

abc: 10.487 10.487 7.786
angles: 90.00 90.00 120.00
Site moments in Bohr magnetons follow the coordinates.
Atoms (fractional coordinates):
Ba 0.667 0.333 0.502  0.01
Ba 0.333 0.667 0.002  0.01
Ba 0.333 0.667 0.498  0.01
Ba 0.667 0.333 0.998  0.01
Ba 0.230 0.990 0.750  0.01
Ba 0.010 0.240 0.750  0.01
Ba 0.760 0.770 0.750  0.01
Ba 0.770 0.010 0.250  0.01
Ba 0.990 0.760 0.250  0.01
Ba 0.240 0.230 0.250  0.01
Mn 0.972 0.599 0.750  1.97
Mn 0.401 0.373 0.750  1.97
Mn 0.627 0.028 0.750  1.97
Mn 0.028 0.401 0.250  1.97
Mn 0.599 0.627 0.250  1.97
Mn 0.373 0.972 0.250  1.97
O 0.160 0.683 0.750  -0.02
O 0.317 0.477 0.750  -0.02
O 0.523 0.840 0.750  -0.02
O 0.840 0.317 0.250  -0.02
O 0.683 0.523 0.250  -0.02
O 0.477 0.160 0.250  -0.02
O 0.884 0.409 0.750  -0.01
O 0.591 0.475 0.750  -0.01
O 0.525 0.116 0.750  -0.01
O 0.116 0.591 0.250  -0.01
O 0.409 0.525 0.250  -0.01
O 0.475 0.884 0.250  -0.01
O 0.909 0.651 0.576  -0.01
O 0.349 0.258 0.576  -0.01
O 0.742 0.091 0.576  -0.01
O 0.091 0.349 0.076  -0.01
O 0.651 0.742 0.076  -0.01
O 0.258 0.909 0.076  -0.01
O 0.091 0.349 0.424  -0.01
O 0.651 0.742 0.424  -0.01
O 0.258 0.909 0.424  -0.01
O 0.909 0.651 0.924  -0.01
O 0.349 0.258 0.924  -0.01
O 0.742 0.091 0.924  -0.01
F 0.000 0.000 0.500  0.00
F 0.000 0.000 0.000  0.00

Space-group type: P6_3/m
Energy above the most stable polymorph in this dataset in meV per atom: 21

---

Number 1: raw total energy -4.39 eV per atom. Number 2: raw total energy -6.60 eV per atom. Number 3: raw total energy -5.21 eV per atom. Number 4: raw total energy -6.57 eV per atom.